# Zr2GaAs, optimized geometry, DFT PBE-GGA
# Calculated total energy: -26.701 eV/cell
# ΔE_f: -482.0 meV/atom
# Energy above the most stable polymorph in this dataset: 33.4 kJ/mol of atoms
# Total magnetic moment: 0.00 Bohr magnetons per cell
# SG: No. 225
data_Zr2GaAs
_symmetry_space_group_name_H-M 'P 1'
_symmetry_Int_Tables_number 1
_symmetry_space_group_name_Hall 'P 1'
_cell_length_a 4.7751
_cell_length_b 4.7751
_cell_length_c 4.7751
_cell_angle_alpha 60.00
_cell_angle_beta 60.00
_cell_angle_gamma 60.00
loop_
_atom_site_label
_atom_site_type_symbol
_atom_site_fract_x
_atom_site_fract_y
_atom_site_fract_z
Zr1 Zr 0.2500 0.2500 0.2500
Zr2 Zr 0.7500 0.7500 0.7500
Ga1 Ga 0.0000 0.0000 0.0000
As1 As 0.5000 0.5000 0.5000

# Zr2GaAs, optimized geometry, DFT PBE-GGA
# Calculated total energy: -27.500 eV/cell
# ΔE_f: -681.8 meV/atom
# Energy above the most stable polymorph in this dataset: 14.1 kJ/mol of atoms
# Total magnetic moment: 0.00 Bohr magnetons per cell
# SG: No. 160
data_Zr2GaAs
_symmetry_space_group_name_H-M 'P 1'
_symmetry_Int_Tables_number 1
_symmetry_space_group_name_Hall 'P 1'
_cell_length_a 7.6184
_cell_length_b 7.6184
_cell_length_c 7.6184
_cell_angle_alpha 27.70
_cell_angle_beta 27.70
_cell_angle_gamma 27.70
loop_
_atom_site_label
_atom_site_type_symbol
_atom_site_fract_x
_atom_site_fract_y
_atom_site_fract_z
Zr1 Zr 0.0000 0.0000 0.0000
Zr2 Zr 0.1848 0.1848 0.1848
Ga1 Ga 0.4248 0.4248 0.4248
As1 As 0.5932 0.5932 0.5932

# Zr6Ga3As, optimized geometry, DFT PBE-GGA
# Calculated total energy: -137.519 eV/cell
# ΔE_f: -374.0 meV/atom
# Total magnetic moment: 0.00 Bohr magnetons per cell
# SG: No. 36
data_Zr6Ga3As
_symmetry_space_group_name_H-M 'P 1'
_symmetry_Int_Tables_number 1
_symmetry_space_group_name_Hall 'P 1'
_cell_length_a 8.1516
_cell_length_b 8.1516
_cell_length_c 6.7412
_cell_angle_alpha 90.00
_cell_angle_beta 90.00
_cell_angle_gamma 108.32
loop_
_atom_site_label
_atom_site_type_symbol
_atom_site_fract_x
_atom_site_fract_y
_atom_site_fract_z
Zr1 Zr 0.0264 0.9736 0.5000
Zr2 Zr 0.1083 0.5173 0.9804
Zr3 Zr 0.2311 0.3232 0.3481
Zr4 Zr 0.2899 0.7101 0.4214
Zr5 Zr 0.3232 0.2311 0.8481
Zr6 Zr 0.4827 0.8917 0.9804
Zr7 Zr 0.5173 0.1083 0.4804
Zr8 Zr 0.6768 0.7689 0.3481
Zr9 Zr 0.7101 0.2899 0.9214
Zr10 Zr 0.7689 0.6768 0.8481
Zr11 Zr 0.8917 0.4827 0.4804
Zr12 Zr 0.9736 0.0264 0.0000
Ga1 Ga 0.0124 0.2683 0.7000
Ga2 Ga 0.2683 0.0124 0.2000
Ga3 Ga 0.4554 0.5446 0.0724
Ga4 Ga 0.5446 0.4554 0.5724
Ga5 Ga 0.7317 0.9876 0.7000
Ga6 Ga 0.9876 0.7317 0.2000
As1 As 0.1688 0.8312 0.7762
As2 As 0.8312 0.1688 0.2762

# Zr3GaAs, optimized geometry, DFT PBE-GGA
# Calculated total energy: -33.291 eV/cell
# ΔE_f: 6.0 meV/atom
# Energy above the most stable polymorph in this dataset: 0.0 kJ/mol of atoms
# Total magnetic moment: 0.00 Bohr magnetons per cell
# SG: No. 221
data_Zr3GaAs
_symmetry_space_group_name_H-M 'P 1'
_symmetry_Int_Tables_number 1
_symmetry_space_group_name_Hall 'P 1'
_cell_length_a 4.9809
_cell_length_b 4.9809
_cell_length_c 4.9809
_cell_angle_alpha 90.00
_cell_angle_beta 90.00
_cell_angle_gamma 90.00
loop_
_atom_site_label
_atom_site_type_symbol
_atom_site_fract_x
_atom_site_fract_y
_atom_site_fract_z
Zr1 Zr 0.0000 0.0000 0.5000
Zr2 Zr 0.0000 0.5000 0.0000
Zr3 Zr 0.5000 0.0000 0.0000
Ga1 Ga 0.5000 0.5000 0.5000
As1 As 0.0000 0.0000 0.0000

# ZrGa3As, optimized geometry, DFT PBE-GGA
# Calculated total energy: -19.443 eV/cell
# ΔE_f: 567.0 meV/atom
# Energy above the most stable polymorph in this dataset: 0.0 kJ/mol of atoms
# Total magnetic moment: 0.00 Bohr magnetons per cell
# SG: No. 221
data_ZrGa3As
_symmetry_space_group_name_H-M 'P 1'
_symmetry_Int_Tables_number 1
_symmetry_space_group_name_Hall 'P 1'
_cell_length_a 4.8518
_cell_length_b 4.8518
_cell_length_c 4.8518
_cell_angle_alpha 90.00
_cell_angle_beta 90.00
_cell_angle_gamma 90.00
loop_
_atom_site_label
_atom_site_type_symbol
_atom_site_fract_x
_atom_site_fract_y
_atom_site_fract_z
Zr1 Zr 0.0000 0.0000 0.0000
Ga1 Ga 0.0000 0.5000 0.5000
Ga2 Ga 0.5000 0.0000 0.5000
Ga3 Ga 0.5000 0.5000 0.0000
As1 As 0.5000 0.5000 0.5000

# Zr2GaAs, optimized geometry, DFT PBE-GGA
# Calculated total energy: -48.426 eV/cell
# ΔE_f: 139.9 meV/atom
# Energy above the most stable polymorph in this dataset: 93.4 kJ/mol of atoms
# Total magnetic moment: 0.00 Bohr magnetons per cell
# SG: No. 122
data_Zr2GaAs
_symmetry_space_group_name_H-M 'P 1'
_symmetry_Int_Tables_number 1
_symmetry_space_group_name_Hall 'P 1'
_cell_length_a 7.8120
_cell_length_b 7.8120
_cell_length_c 7.8120
_cell_angle_alpha 136.14
_cell_angle_beta 136.14
_cell_angle_gamma 63.77
loop_
_atom_site_label
_atom_site_type_symbol
_atom_site_fract_x
_atom_site_fract_y
_atom_site_fract_z
Zr1 Zr 0.1255 0.6250 0.0005
Zr2 Zr 0.3750 0.3755 0.5005
Zr3 Zr 0.6245 0.1250 0.9995
Zr4 Zr 0.8750 0.8745 0.4995
Ga1 Ga 0.0000 0.0000 0.0000
Ga2 Ga 0.7500 0.2500 0.5000
As1 As 0.2500 0.7500 0.5000
As2 As 0.5000 0.5000 0.0000

# Zr2GaAs, optimized geometry, DFT PBE-GGA
# Calculated total energy: -27.944 eV/cell
# ΔE_f: -792.8 meV/atom
# Energy above the most stable polymorph in this dataset: 3.4 kJ/mol of atoms
# Total magnetic moment: 0.00 Bohr magnetons per cell
# SG: No. 166
data_Zr2GaAs
_symmetry_space_group_name_H-M 'P 1'
_symmetry_Int_Tables_number 1
_symmetry_space_group_name_Hall 'P 1'
_cell_length_a 6.7816
_cell_length_b 6.7816
_cell_length_c 6.7816
_cell_angle_alpha 32.99
_cell_angle_beta 32.99
_cell_angle_gamma 32.99
loop_
_atom_site_label
_atom_site_type_symbol
_atom_site_fract_x
_atom_site_fract_y
_atom_site_fract_z
Zr1 Zr 0.2488 0.2488 0.2488
Zr2 Zr 0.7512 0.7512 0.7512
Ga1 Ga 0.0000 0.0000 0.0000
As1 As 0.5000 0.5000 0.5000

# Gd3As, optimized geometry, DFT PBE-GGA
# Calculated total energy: -49.153 eV/cell
# ΔE_f: -565.3 meV/atom
# Total magnetic moment: 7.01 Bohr magnetons per cell
# SG: No. 71
data_Gd3As
_symmetry_space_group_name_H-M 'P 1'
_symmetry_Int_Tables_number 1
_symmetry_space_group_name_Hall 'P 1'
_cell_length_a 6.5369
_cell_length_b 6.5369
_cell_length_c 6.5369
_cell_angle_alpha 146.23
_cell_angle_beta 133.45
_cell_angle_gamma 58.73
loop_
_atom_site_label
_atom_site_type_symbol
_atom_site_fract_x
_atom_site_fract_y
_atom_site_fract_z
Gd1 Gd 0.0000 0.0000 0.0000
Gd2 Gd 0.2984 0.7984 0.5000
Gd3 Gd 0.7016 0.2016 0.5000
As1 As 0.5000 0.5000 0.0000

> What is the calculated total energy in the eighth record?

-49.153 eV/cell

> Which value of ΔE_f does entry 6 give?

139.9 meV/atom

> What is the total magnetic moment in the fourth record?

0.00 Bohr magnetons per cell